Entry 1:
# LiMnPH2O5

A geometry-optimized LiMnPH2O5 structure (GGA+U, the Alexandria database).

Properties
Theoretical density, g/cm3: 2.451
Magnetization, Bohr magnetons per cell: 10.00
Crystal system: triclinic
E above lowest polymorph, meV/atom: 0

Unit cell a=5.103 b=5.763 c=8.205 alpha=89.94 beta=90.06 gamma=100.92
Each line ends with the local moment (μB).
Fractional coordinates of all 20 atoms:
O (0.887, 0.958, 0.164)  0.03
O (0.333, 0.236, 0.191)  0.02
O (0.314, 0.808, 0.108)  0.03
O (0.812, 0.502, 0.237)  0.01
O (0.832, 0.737, 0.809)  0.02
O (0.386, 0.458, 0.835)  0.03
O (0.695, 0.404, 0.601)  0.01
O (0.196, 0.903, 0.399)  0.01
O (0.311, 0.002, 0.763)  0.01
O (0.814, 0.309, 0.892)  0.03
P (0.181, 0.978, 0.219)  0.01
P (0.680, 0.478, 0.781)  0.01
H (0.137, 0.888, 0.775)  0.00
H (0.781, 0.663, 0.206)  0.00
H (0.638, 0.387, 0.225)  0.00
H (0.280, 0.163, 0.794)  0.00
Li (0.445, 0.106, 0.540)  0.00
Li (0.945, 0.606, 0.461)  0.00
Mn (0.136, 0.457, 0.047)  4.65
Mn (0.635, 0.957, 0.953)  4.65

Entry 2:
# LiMnP3HO10

A geometry-optimized LiMnP3HO10 structure (GGA+U, the Alexandria database).

Properties
Theoretical density, g/cm3: 2.197
Magnetization, Bohr magnetons per cell: 4.00
Crystal system: triclinic
E above lowest polymorph, meV/atom: 0

Unit cell a=6.324 b=6.240 c=6.564 alpha=75.64 beta=72.07 gamma=84.41
Each line ends with the local moment (μB).
Fractional coordinates of all 16 atoms:
O (0.659, 0.646, 0.924)  -0.03
O (0.721, 0.383, 0.611)  0.04
O (0.992, 0.305, 0.910)  -0.03
O (0.694, 0.007, 0.995)  -0.02
O (0.344, 0.325, 0.998)  -0.03
O (0.624, 0.688, 0.317)  0.00
O (0.311, 0.821, 0.147)  0.00
O (0.582, 0.288, 0.314)  0.04
O (0.317, 0.463, 0.605)  0.00
O (0.138, 0.688, 0.894)  0.00
P (0.192, 0.453, 0.863)  0.01
P (0.574, 0.435, 0.465)  0.01
P (0.568, 0.791, 0.089)  0.01
Li (0.015, 0.990, 0.851)  0.00
Mn (0.660, 0.331, 0.964)  3.87
H (0.243, 0.751, 0.054)  0.00

Question: What is the magnetization in the second record?
Answer: 4.00 Bohr magnetons per cell